# BeGeAu2, relaxed, DFT PBE
# Total moment, μB per formula unit: 0.00
# ΔE_f, eV per atom: 0.05
# Energy above the lowest structure with this stoichiometry, meV/atom: 53
# E_tot, eV/cell: -44.1
data_BeGeAu2
_chemical_formula_sum 'Be3 Ge3 Au6'
_space_group_name_H-M_alt 'R 3 m'
_space_group_IT_number 160
_space_group_name_Hall 'R 3 -2"'
_cell_length_a 3.9712
_cell_length_b 3.9712
_cell_length_c 15.0120
_cell_angle_alpha 90.00
_cell_angle_beta 90.00
_cell_angle_gamma 120.00
loop_
_atom_site_label
_atom_site_type_symbol
_atom_site_fract_x
_atom_site_fract_y
_atom_site_fract_z
Be1 Be 0.0000 0.0000 0.0000
Ge1 Ge 0.0000 0.0000 0.1721
Au1 Au 0.0000 0.0000 0.3982
Au2 Au 0.0000 0.0000 0.6051